Below is a relaxed GaCoIO2 crystal, with properties calculated at the GGA+U level.

Structure (POSCAR):
```
GaCoIO2
1.0
3.761 0.000 0.000
0.000 3.761 0.000
0.000 0.000 6.612
O Ga Co I
2 1 1 1
direct
0.500 0.000 0.000
0.000 0.500 0.000
0.000 0.000 0.000
0.500 0.500 0.500
0.000 0.000 0.500
```

* symmetry: P4/mmm, No. 123
* E_tot: -21.0 eV/cell
* total moment: 0.402 μB/atom
* calculated volume: 93.52 Å³/cell
* energy relative to the lowest polymorph listed for this composition: 0.0000 eV/atom